A plane-wave DFT calculation with GGA-PBE was carried out for YInN2F after structural relaxation.

Values from the calculation:
The calculation puts the density of states at the Fermi level at 2.668 states/eV/f.u. Its crystal system is tetragonal. For the uncorrected formation energy, the calculation gives -0.35 eV per atom. As for the space group: P4/mmm.

Cell and atoms, written as POSCAR:
```
YInN2F
1.0
4.518 0.000 0.000
0.000 4.518 0.000
0.000 0.000 4.268
Y F N In
1 1 2 1
Cartesian
0.000 0.000 0.000 Y
0.000 0.000 2.134 F
0.000 2.259 0.000 N
2.259 0.000 0.000 N
2.259 2.259 2.134 In
```

A plane-wave DFT calculation with GGA-PBE was carried out for Tb12NdSc3 after structural relaxation.

Values from the calculation:
The calculation puts the density of states at the Fermi level at 23.828 states/eV/f.u. Its crystal system is tetragonal. The formation energy is 36 meV/atom. As for the space group: P4/mmm.

Cell and atoms, written as POSCAR:
```
Tb12NdSc3
1.0
-4.010 2.922 -0.353
-0.015 -0.617 -4.936
-11.726 -15.850 2.017
Tb Sc Nd
12 3 1
Cartesian
-10.203 -14.090 -0.714 Tb
-7.314 -10.185 -1.211 Tb
-7.876 -6.772 -1.636 Tb
-9.312 -8.415 1.080 Tb
-4.427 -6.282 -1.708 Tb
-6.425 -4.513 0.584 Tb
-12.201 -12.320 1.577 Tb
-10.753 -10.661 -1.141 Tb
-2.013 1.152 -2.645 Tb
-3.536 -0.607 0.087 Tb
-1.538 -2.377 -2.205 Tb
-4.999 -2.884 -2.131 Tb
-5.863 -7.925 1.008 Sc
-8.753 -11.831 1.506 Sc
-2.973 -4.018 0.511 Sc
0.000 0.000 0.000 Nd
```

A plane-wave DFT calculation with GGA-PBE was carried out for TeSeBr after structural relaxation.

Values from the calculation:
The calculation puts the density of states at the Fermi level at 1.056 states/eV/f.u. Its crystal system is tetragonal. For the uncorrected formation energy, the calculation gives -0.05 eV per atom. As for the space group: I4mm.

Cell and atoms, written as POSCAR:
```
TeSeBr
1.0
-5.185 3.981 0.183
-4.729 0.482 -4.491
3.420 -4.296 3.551
Se Br Te
1 1 1
Cartesian
-2.468 1.111 -1.073 Se
-9.774 4.400 -4.247 Br
-7.585 3.415 -3.296 Te
```

A plane-wave DFT calculation with GGA-PBE was carried out for SmDyInIr after structural relaxation.

Values from the calculation:
The calculation puts the density of states at the Fermi level at 3.224 states/eV/f.u. Its crystal system is cubic. The formation energy is -501 meV/atom. As for the space group: F-43m.

Cell and atoms, written as POSCAR:
```
SmDyInIr
1.0
-1.696 3.857 2.925
-4.168 2.641 -1.402
-4.368 -0.512 2.639
Ir In Sm Dy
1 1 1 1
Cartesian
-5.116 2.993 2.081 Ir
0.000 0.000 0.000 In
-7.674 4.490 3.122 Sm
-2.558 1.497 1.041 Dy
```

Which formula does entry 4 have?
SmDyInIr